{
  "formula": "LiPr2MnTe5",
  "functional": "PBE",
  "state": "relaxed",
  "formation_energy_uncorrected_ev_per_atom": -1.0372,
  "space_group": "Cmc2_1, No. 36",
  "rho_g_cm3": 6.3,
  "lattice": [[2.1960, -9.5881, 0.0000], [2.1960, 9.5881, 0.0000], [0.0000, 0.0000, 12.2728]],
  "species": ["Li", "Li", "Pr", "Pr", "Pr", "Pr", "Mn", "Mn", "Te", "Te", "Te", "Te", "Te", "Te", "Te", "Te", "Te", "Te"],
  "fractional_positions": [[0.2119, 0.7881, 0.5000], [0.7881, 0.2119, 0.0000], [0.1131, 0.8869, 0.8084], [0.1227, 0.8773, 0.1855], [0.8773, 0.1227, 0.6855], [0.8869, 0.1131, 0.3084], [0.4009, 0.5991, 0.9856], [0.5991, 0.4009, 0.4856], [0.0358, 0.9642, 0.5662], [0.2948, 0.7052, 0.8371], [0.3068, 0.6932, 0.1542], [0.3546, 0.6454, 0.4974], [0.4818, 0.5182, 0.8015], [0.5182, 0.4818, 0.3015], [0.6454, 0.3546, 0.9974], [0.6932, 0.3068, 0.6542], [0.7052, 0.2948, 0.3371], [0.9642, 0.0358, 0.0662]]
}

{
  "formula": "Er2Cu5Ni4",
  "functional": "PBE",
  "state": "relaxed",
  "space_group": "Fmmm, No. 69",
  "formation_enthalpy_0k_ev_per_atom": -0.20,
  "rho_g_cm3": 9.0,
  "lattice": [[0.0000, 4.1727, 7.9524], [2.4685, 0.0000, 7.9524], [2.4685, 4.1727, 0.0000]],
  "species": ["Er", "Er", "Cu", "Cu", "Cu", "Cu", "Cu", "Ni", "Ni", "Ni", "Ni"],
  "fractional_positions": [[0.1339, 0.1339, 0.8661], [0.8661, 0.8661, 0.1339], [0.0000, 0.0000, 0.5000], [0.2500, 0.2500, 0.2500], [0.5000, 0.5000, 0.0000], [0.5000, 0.5000, 0.5000], [0.7500, 0.7500, 0.7500], [0.2112, 0.5338, 0.4662], [0.4662, 0.7888, 0.2112], [0.5338, 0.2112, 0.7888], [0.7888, 0.4662, 0.5338]]
}

{
  "formula": "Sm6Rh2I3N",
  "functional": "PBE",
  "state": "relaxed",
  "formation_energy_uncorrected_ev_per_atom": -0.9848,
  "space_group": "C2/m, No. 12",
  "rho_g_cm3": 7.4,
  "lattice": [[3.5018, -6.0490, 0.0000], [3.5018, 6.0490, 0.0000], [-2.2882, 0.0000, 7.9507]],
  "species": ["Sm", "Sm", "Sm", "Sm", "Sm", "Sm", "Rh", "Rh", "I", "I", "I", "N"],
  "fractional_positions": [[0.0573, 0.3681, 0.1749], [0.2548, 0.2548, 0.8236], [0.3681, 0.0573, 0.1749], [0.6319, 0.9427, 0.8251], [0.7452, 0.7452, 0.1764], [0.9427, 0.6319, 0.8251], [0.3332, 0.6668, 0.0000], [0.6668, 0.3332, 0.0000], [0.1666, 0.8334, 0.5000], [0.5000, 0.5000, 0.5000], [0.8334, 0.1666, 0.5000], [0.0000, 0.0000, 0.0000]]
}

Repeat the third record exactly.
{
  "formula": "Sm6Rh2I3N",
  "functional": "PBE",
  "state": "relaxed",
  "formation_energy_uncorrected_ev_per_atom": -0.9848,
  "space_group": "C2/m, No. 12",
  "rho_g_cm3": 7.4,
  "lattice": [[3.5018, -6.0490, 0.0000], [3.5018, 6.0490, 0.0000], [-2.2882, 0.0000, 7.9507]],
  "species": ["Sm", "Sm", "Sm", "Sm", "Sm", "Sm", "Rh", "Rh", "I", "I", "I", "N"],
  "fractional_positions": [[0.0573, 0.3681, 0.1749], [0.2548, 0.2548, 0.8236], [0.3681, 0.0573, 0.1749], [0.6319, 0.9427, 0.8251], [0.7452, 0.7452, 0.1764], [0.9427, 0.6319, 0.8251], [0.3332, 0.6668, 0.0000], [0.6668, 0.3332, 0.0000], [0.1666, 0.8334, 0.5000], [0.5000, 0.5000, 0.5000], [0.8334, 0.1666, 0.5000], [0.0000, 0.0000, 0.0000]]
}